Record 1
# CsNdAlTe3

A relaxed CsNdAlTe3 crystal (PBE, the Open Quantum Materials Database).

Computed properties:
volume = 976.3 Å³/cell
calculated total energy = -4.11 eV per atom

Cell and atoms, written as CIF:
```
data_CsNdAlTe3
_chemical_formula_sum 'Cs4 Nd4 Al4 Te12'
_cell_length_a 4.881
_cell_length_b 16.492
_cell_length_c 12.129
_cell_angle_alpha 90.00
_cell_angle_beta 90.00
_cell_angle_gamma 90.00
_space_group_name_H-M_alt 'C m c m'
_space_group_IT_number 63
_space_group_name_Hall '-C 2c 2'
loop_
_atom_site_label
_atom_site_type_symbol
_atom_site_fract_x
_atom_site_fract_y
_atom_site_fract_z
_atom_site_occupancy
Cs1 Cs 0.000 0.243 0.250 1
Nd1 Nd 0.000 0.500 0.000 1
Al1 Al 0.000 0.024 0.750 1
Te1 Te 0.000 0.120 0.568 1
Te2 Te 0.000 0.445 0.750 1
```


Record 2
# CsAlNi

A relaxed CsAlNi crystal (PBE, the Open Quantum Materials Database).

Computed properties:
volume = 428.6 Å³/cell
calculated total energy = -1.85 eV per atom

Cell and atoms, written as CIF:
```
data_CsAlNi
_chemical_formula_sum 'Cs4 Al4 Ni4'
_cell_length_a 7.540
_cell_length_b 7.540
_cell_length_c 7.540
_cell_angle_alpha 90.00
_cell_angle_beta 90.00
_cell_angle_gamma 90.00
_space_group_name_H-M_alt 'F -4 3 m'
_space_group_IT_number 216
_space_group_name_Hall 'F -4 2 3'
loop_
_atom_site_label
_atom_site_type_symbol
_atom_site_fract_x
_atom_site_fract_y
_atom_site_fract_z
_atom_site_occupancy
Cs1 Cs 0.000 0.000 0.000 1
Al1 Al 0.250 0.250 0.750 1
Ni1 Ni 0.250 0.250 0.250 1
```


Record 3
# CsAlNiTe3

A relaxed CsAlNiTe3 crystal (PBE, the Open Quantum Materials Database).

Computed properties:
volume = 762.6 Å³/cell
calculated total energy = -3.67 eV per atom

Cell and atoms, written as CIF:
```
data_CsAlNiTe3
_chemical_formula_sum 'Cs4 Al4 Ni4 Te12'
_cell_length_a 3.994
_cell_length_b 17.413
_cell_length_c 10.965
_cell_angle_alpha 90.00
_cell_angle_beta 90.00
_cell_angle_gamma 90.00
_space_group_name_H-M_alt 'C m c m'
_space_group_IT_number 63
_space_group_name_Hall '-C 2c 2'
loop_
_atom_site_label
_atom_site_type_symbol
_atom_site_fract_x
_atom_site_fract_y
_atom_site_fract_z
_atom_site_occupancy
Cs1 Cs 0.000 0.249 0.250 1
Al1 Al 0.000 0.000 0.000 1
Ni1 Ni 0.000 0.471 0.750 1
Te1 Te 0.000 0.058 0.750 1
Te2 Te 0.000 0.394 0.552 1
```